[1]
# ErPuU

A relaxed structure of ErPuU (GGA-PBE, the Alexandria database).

## Properties
The density comes out at 14.539 g/cm³. As for the space group: I4/mmm, No. 139.

Cell: 12.589 12.589 12.589 Å, 164.18 164.18 22.45°
Element x y z (fractional)
Er: 0.070 0.070 0.000
Er: 0.930 0.930 0.000
Pu: 0.334 0.334 0.000
Pu: 0.666 0.666 0.000
U: 0.205 0.205 0.000
U: 0.795 0.795 0.000

[2]
# Zr2HgSe

A relaxed structure of Zr2HgSe (GGA-PBE, the Alexandria database).

## Properties
The density comes out at 8.521 g/cm³. The uncorrected formation energy comes out at 0.201 eV/atom. As for the space group: F-43m, No. 216.

Cell: 5.031 5.031 5.031 Å, 60.00 60.00 60.00°
Element x y z (fractional)
Zr: 0.000 0.000 0.000
Zr: 0.250 0.250 0.250
Hg: 0.500 0.500 0.500
Se: 0.750 0.750 0.750

[3]
# DyTm3In3

A relaxed structure of DyTm3In3 (GGA-PBE, the Alexandria database).

## Properties
The density comes out at 8.890 g/cm³. As for the space group: P6_3/m, No. 176.

Cell: 9.226 9.226 5.137 Å, 90.00 90.00 120.00°
Element x y z (fractional)
Dy: 0.333 0.667 0.250
Dy: 0.667 0.333 0.750
Tm: 0.005 0.773 0.250
Tm: 0.227 0.231 0.250
Tm: 0.231 0.005 0.750
Tm: 0.769 0.995 0.250
Tm: 0.773 0.769 0.750
Tm: 0.995 0.227 0.750
In: 0.073 0.619 0.750
In: 0.381 0.454 0.750
In: 0.454 0.073 0.250
In: 0.546 0.927 0.750
In: 0.619 0.546 0.250
In: 0.927 0.381 0.250

no.,relative energy among the computed polymorphs (kJ per mole of atoms),uncorrected energy (eV per atom)
1,4.2,-9.79
2,76.4,-5.02
3,0.0,-4.08